{
  "formula": "Na3Co2WO6",
  "functional": "PBE with a Hubbard U",
  "state": "optimized geometry",
  "lattice_angstrom": [[5.4556, -0.0771, 0.0146], [-2.7932, 4.6869, 0.0146], [-0.8737, -1.5127, 5.4147]],
  "species": ["Na", "Na", "Na", "Co", "Co", "W", "O", "O", "O", "O", "O", "O"],
  "frac_coords": [[0.1765, 0.8235, 0.5000], [0.8235, 0.1765, 0.5000], [0.5000, 0.5000, 0.5000], [0.3276, 0.6724, 0.0000], [0.6724, 0.3276, 0.0000], [0.0000, 0.0000, 0.0000], [0.9272, 0.6107, 0.7933], [0.7650, 0.7650, 0.2080], [0.0728, 0.3893, 0.2067], [0.6107, 0.9272, 0.7933], [0.2350, 0.2350, 0.7920], [0.3893, 0.0728, 0.2067]],
  "spacegroup": "No. 12",
  "e_tot_ev_per_atom": -5.866
}